# PBE-GGA Nd3GaBi2, relaxed
# SG: No. 71
# M_tot: 0.000 μB/atom
# formation enthalpy at 0 K: -4.15 eV/f.u.
# calculated total energy: -29.24 eV/cell
data_Nd3GaBi2
_chemical_formula_sum 'Nd3 Ga1 Bi2'
_space_group_name_H-M_alt 'P 1'
_space_group_IT_number 1
_cell_length_a 7.838
_cell_length_b 7.838
_cell_length_c 7.838
_cell_angle_alpha 146.50
_cell_angle_beta 131.83
_cell_angle_gamma 59.95
loop_
_space_group_symop_operation_xyz
'x,y,z'
loop_
_atom_site_label
_atom_site_type_symbol
_atom_site_fract_x
_atom_site_fract_y
_atom_site_fract_z
_atom_site_occupancy
Nd1 Nd 0.000 0.000 0.000 1
Nd2 Nd 0.337 0.337 0.000 1
Nd3 Nd 0.663 0.663 0.000 1
Ga1 Ga 0.500 0.000 0.500 1
Bi1 Bi 0.170 0.670 0.500 1
Bi2 Bi 0.830 0.330 0.500 1

# PBE-GGA Nd7Ga2Bi2, relaxed
# SG: No. 65
# M_tot: 0.000 μB/atom
# formation enthalpy at 0 K: -3.31 eV/f.u.
# calculated total energy: -50.50 eV/cell
data_Nd7Ga2Bi2
_chemical_formula_sum 'Nd7 Ga2 Bi2'
_space_group_name_H-M_alt 'P 1'
_space_group_IT_number 1
_cell_length_a 7.365
_cell_length_b 7.365
_cell_length_c 6.997
_cell_angle_alpha 90.00
_cell_angle_beta 90.00
_cell_angle_gamma 101.42
loop_
_space_group_symop_operation_xyz
'x,y,z'
loop_
_atom_site_label
_atom_site_type_symbol
_atom_site_fract_x
_atom_site_fract_y
_atom_site_fract_z
_atom_site_occupancy
Nd1 Nd 0.000 0.000 0.000 1
Nd2 Nd 0.000 0.500 0.263 1
Nd3 Nd 0.000 0.500 0.737 1
Nd4 Nd 0.500 0.000 0.263 1
Nd5 Nd 0.500 0.000 0.737 1
Nd6 Nd 0.500 0.500 0.242 1
Nd7 Nd 0.500 0.500 0.758 1
Ga1 Ga 0.272 0.728 0.000 1
Ga2 Ga 0.728 0.272 0.000 1
Bi1 Bi 0.190 0.190 0.500 1
Bi2 Bi 0.810 0.810 0.500 1

# PBE-GGA Nd8GaBi2, relaxed
# SG: No. 12
# M_tot: 0.103 μB/atom
# formation enthalpy at 0 K: -4.03 eV/f.u.
# calculated total energy: -52.96 eV/cell
data_Nd8GaBi2
_chemical_formula_sum 'Nd8 Ga1 Bi2'
_space_group_name_H-M_alt 'P 1'
_space_group_IT_number 1
_cell_length_a 10.385
_cell_length_b 10.385
_cell_length_c 6.912
_cell_angle_alpha 103.22
_cell_angle_beta 103.22
_cell_angle_gamma 29.49
loop_
_space_group_symop_operation_xyz
'x,y,z'
loop_
_atom_site_label
_atom_site_type_symbol
_atom_site_fract_x
_atom_site_fract_y
_atom_site_fract_z
_atom_site_occupancy
Nd1 Nd 0.015 0.015 0.276 1
Nd2 Nd 0.219 0.219 0.832 1
Nd3 Nd 0.347 0.347 0.476 1
Nd4 Nd 0.411 0.411 0.021 1
Nd5 Nd 0.589 0.589 0.979 1
Nd6 Nd 0.653 0.653 0.524 1
Nd7 Nd 0.781 0.781 0.168 1
Nd8 Nd 0.985 0.985 0.724 1
Ga1 Ga 0.500 0.500 0.500 1
Bi1 Bi 0.178 0.178 0.269 1
Bi2 Bi 0.822 0.822 0.731 1

# PBE-GGA Nd2GaBi4, relaxed
# SG: No. 12
# M_tot: 0.000 μB/atom
# formation enthalpy at 0 K: -3.19 eV/f.u.
# calculated total energy: -31.28 eV/cell
data_Nd2GaBi4
_chemical_formula_sum 'Nd2 Ga1 Bi4'
_space_group_name_H-M_alt 'P 1'
_space_group_IT_number 1
_cell_length_a 6.785
_cell_length_b 6.785
_cell_length_c 6.719
_cell_angle_alpha 118.28
_cell_angle_beta 118.28
_cell_angle_gamma 93.32
loop_
_space_group_symop_operation_xyz
'x,y,z'
loop_
_atom_site_label
_atom_site_type_symbol
_atom_site_fract_x
_atom_site_fract_y
_atom_site_fract_z
_atom_site_occupancy
Nd1 Nd 0.000 0.500 0.000 1
Nd2 Nd 0.500 0.000 0.000 1
Ga1 Ga 0.000 0.000 0.500 1
Bi1 Bi 0.000 0.000 0.000 1
Bi2 Bi 0.000 0.500 0.500 1
Bi3 Bi 0.500 0.000 0.500 1
Bi4 Bi 0.500 0.500 0.000 1

# PBE-GGA NdGa2Bi, relaxed
# SG: No. 166
# M_tot: 0.000 μB/atom
# formation enthalpy at 0 K: -0.92 eV/f.u.
# calculated total energy: -15.62 eV/cell
data_NdGa2Bi
_chemical_formula_sum 'Nd1 Ga2 Bi1'
_space_group_name_H-M_alt 'P 1'
_space_group_IT_number 1
_cell_length_a 5.215
_cell_length_b 5.215
_cell_length_c 5.215
_cell_angle_alpha 61.42
_cell_angle_beta 61.42
_cell_angle_gamma 61.42
loop_
_space_group_symop_operation_xyz
'x,y,z'
loop_
_atom_site_label
_atom_site_type_symbol
_atom_site_fract_x
_atom_site_fract_y
_atom_site_fract_z
_atom_site_occupancy
Nd1 Nd 0.000 0.000 0.000 1
Ga1 Ga 0.251 0.251 0.251 1
Ga2 Ga 0.749 0.749 0.749 1
Bi1 Bi 0.500 0.500 0.500 1

# PBE-GGA PmNdGaBi, relaxed
# SG: No. 216
# M_tot: 0.000 μB/atom
# formation enthalpy at 0 K: -2.03 eV/f.u.
# calculated total energy: -18.45 eV/cell
data_PmNdGaBi
_chemical_formula_sum 'Pm1 Nd1 Ga1 Bi1'
_space_group_name_H-M_alt 'P 1'
_space_group_IT_number 1
_cell_length_a 5.449
_cell_length_b 5.449
_cell_length_c 5.449
_cell_angle_alpha 60.00
_cell_angle_beta 60.00
_cell_angle_gamma 60.00
loop_
_space_group_symop_operation_xyz
'x,y,z'
loop_
_atom_site_label
_atom_site_type_symbol
_atom_site_fract_x
_atom_site_fract_y
_atom_site_fract_z
_atom_site_occupancy
Pm1 Pm 0.000 0.000 0.000 1
Nd1 Nd 0.500 0.500 0.500 1
Ga1 Ga 0.250 0.250 0.250 1
Bi1 Bi 0.750 0.750 0.750 1

# PBE-GGA Ga2NiBi2, relaxed
# SG: No. 139
# M_tot: 0.000 μB/atom
# formation enthalpy at 0 K: 1.56 eV/f.u.
# calculated total energy: -18.04 eV/cell
data_Ga2NiBi2
_chemical_formula_sum 'Ga2 Ni1 Bi2'
_space_group_name_H-M_alt 'P 1'
_space_group_IT_number 1
_cell_length_a 5.429
_cell_length_b 5.429
_cell_length_c 5.429
_cell_angle_alpha 114.90
_cell_angle_beta 114.90
_cell_angle_gamma 99.09
loop_
_space_group_symop_operation_xyz
'x,y,z'
loop_
_atom_site_label
_atom_site_type_symbol
_atom_site_fract_x
_atom_site_fract_y
_atom_site_fract_z
_atom_site_occupancy
Ga1 Ga 0.171 0.171 0.000 1
Ga2 Ga 0.829 0.829 0.000 1
Ni1 Ni 0.500 0.500 0.000 1
Bi1 Bi 0.250 0.750 0.500 1
Bi2 Bi 0.750 0.250 0.500 1

# PBE-GGA Ga2Ni2Bi, relaxed
# SG: No. 127
# M_tot: 0.000 μB/atom
# formation enthalpy at 0 K: -0.14 eV/f.u.
# calculated total energy: -43.27 eV/cell
data_Ga2Ni2Bi
_chemical_formula_sum 'Ga4 Ni4 Bi2'
_space_group_name_H-M_alt 'P 1'
_space_group_IT_number 1
_cell_length_a 7.388
_cell_length_b 7.388
_cell_length_c 2.987
_cell_angle_alpha 90.00
_cell_angle_beta 90.00
_cell_angle_gamma 90.00
loop_
_space_group_symop_operation_xyz
'x,y,z'
loop_
_atom_site_label
_atom_site_type_symbol
_atom_site_fract_x
_atom_site_fract_y
_atom_site_fract_z
_atom_site_occupancy
Ga1 Ga 0.143 0.357 0.000 1
Ga2 Ga 0.357 0.857 0.000 1
Ga3 Ga 0.643 0.143 0.000 1
Ga4 Ga 0.857 0.643 0.000 1
Ni1 Ni 0.144 0.644 0.500 1
Ni2 Ni 0.356 0.144 0.500 1
Ni3 Ni 0.644 0.856 0.500 1
Ni4 Ni 0.856 0.356 0.500 1
Bi1 Bi 0.000 0.000 0.500 1
Bi2 Bi 0.500 0.500 0.500 1

# PBE-GGA GaNi3Bi, relaxed
# SG: No. 221
# M_tot: 0.012 μB/atom
# formation enthalpy at 0 K: 5.28 eV/f.u.
# calculated total energy: -18.98 eV/cell
data_GaNi3Bi
_chemical_formula_sum 'Ga1 Ni3 Bi1'
_space_group_name_H-M_alt 'P 1'
_space_group_IT_number 1
_cell_length_a 4.832
_cell_length_b 4.832
_cell_length_c 4.832
_cell_angle_alpha 90.00
_cell_angle_beta 90.00
_cell_angle_gamma 90.00
loop_
_space_group_symop_operation_xyz
'x,y,z'
loop_
_atom_site_label
_atom_site_type_symbol
_atom_site_fract_x
_atom_site_fract_y
_atom_site_fract_z
_atom_site_occupancy
Ga1 Ga 0.000 0.000 0.000 1
Ni1 Ni 0.000 0.500 0.500 1
Ni2 Ni 0.500 0.000 0.500 1
Ni3 Ni 0.500 0.500 0.000 1
Bi1 Bi 0.500 0.500 0.500 1

# PBE-GGA Ga2Ni2Bi, relaxed
# SG: No. 139
# M_tot: 0.000 μB/atom
# formation enthalpy at 0 K: -0.61 eV/f.u.
# calculated total energy: -22.11 eV/cell
data_Ga2Ni2Bi
_chemical_formula_sum 'Ga2 Ni2 Bi1'
_space_group_name_H-M_alt 'P 1'
_space_group_IT_number 1
_cell_length_a 6.452
_cell_length_b 6.452
_cell_length_c 6.452
_cell_angle_alpha 146.24
_cell_angle_beta 146.24
_cell_angle_gamma 48.49
loop_
_space_group_symop_operation_xyz
'x,y,z'
loop_
_atom_site_label
_atom_site_type_symbol
_atom_site_fract_x
_atom_site_fract_y
_atom_site_fract_z
_atom_site_occupancy
Ga1 Ga 0.250 0.750 0.500 1
Ga2 Ga 0.750 0.250 0.500 1
Ni1 Ni 0.111 0.111 0.000 1
Ni2 Ni 0.889 0.889 0.000 1
Bi1 Bi 0.500 0.500 0.000 1

# PBE-GGA Ga2NiBi, relaxed
# SG: No. 122
# M_tot: 0.000 μB/atom
# formation enthalpy at 0 K: 0.18 eV/f.u.
# calculated total energy: -31.06 eV/cell
data_Ga2NiBi
_chemical_formula_sum 'Ga4 Ni2 Bi2'
_space_group_name_H-M_alt 'P 1'
_space_group_IT_number 1
_cell_length_a 8.806
_cell_length_b 8.806
_cell_length_c 8.806
_cell_angle_alpha 150.02
_cell_angle_beta 150.02
_cell_angle_gamma 42.92
loop_
_space_group_symop_operation_xyz
'x,y,z'
loop_
_atom_site_label
_atom_site_type_symbol
_atom_site_fract_x
_atom_site_fract_y
_atom_site_fract_z
_atom_site_occupancy
Ga1 Ga 0.005 0.625 0.880 1
Ga2 Ga 0.375 0.255 0.380 1
Ga3 Ga 0.745 0.125 0.120 1
Ga4 Ga 0.875 0.995 0.620 1
Ni1 Ni 0.000 0.000 0.000 1
Ni2 Ni 0.750 0.250 0.500 1
Bi1 Bi 0.250 0.750 0.500 1
Bi2 Bi 0.500 0.500 0.000 1

# PBE-GGA GaNi2Bi2, relaxed
# SG: No. 127
# M_tot: 0.000 μB/atom
# formation enthalpy at 0 K: 0.53 eV/f.u.
# calculated total energy: -43.64 eV/cell
data_GaNi2Bi2
_chemical_formula_sum 'Ga2 Ni4 Bi4'
_space_group_name_H-M_alt 'P 1'
_space_group_IT_number 1
_cell_length_a 6.858
_cell_length_b 6.858
_cell_length_c 4.100
_cell_angle_alpha 90.00
_cell_angle_beta 90.00
_cell_angle_gamma 90.00
loop_
_space_group_symop_operation_xyz
'x,y,z'
loop_
_atom_site_label
_atom_site_type_symbol
_atom_site_fract_x
_atom_site_fract_y
_atom_site_fract_z
_atom_site_occupancy
Ga1 Ga 0.000 0.000 0.000 1
Ga2 Ga 0.500 0.500 0.000 1
Ni1 Ni 0.135 0.365 0.000 1
Ni2 Ni 0.365 0.865 0.000 1
Ni3 Ni 0.635 0.135 0.000 1
Ni4 Ni 0.865 0.635 0.000 1
Bi1 Bi 0.169 0.669 0.500 1
Bi2 Bi 0.331 0.169 0.500 1
Bi3 Bi 0.669 0.831 0.500 1
Bi4 Bi 0.831 0.331 0.500 1

# PBE-GGA GaNi3Bi, relaxed
# SG: No. 221
# M_tot: 0.000 μB/atom
# formation enthalpy at 0 K: 1.97 eV/f.u.
# calculated total energy: -22.28 eV/cell
data_GaNi3Bi
_chemical_formula_sum 'Ga1 Ni3 Bi1'
_space_group_name_H-M_alt 'P 1'
_space_group_IT_number 1
_cell_length_a 4.427
_cell_length_b 4.427
_cell_length_c 4.427
_cell_angle_alpha 90.00
_cell_angle_beta 90.00
_cell_angle_gamma 90.00
loop_
_space_group_symop_operation_xyz
'x,y,z'
loop_
_atom_site_label
_atom_site_type_symbol
_atom_site_fract_x
_atom_site_fract_y
_atom_site_fract_z
_atom_site_occupancy
Ga1 Ga 0.000 0.000 0.000 1
Ni1 Ni 0.000 0.000 0.500 1
Ni2 Ni 0.000 0.500 0.000 1
Ni3 Ni 0.500 0.000 0.000 1
Bi1 Bi 0.500 0.500 0.500 1

# PBE-GGA Ga2Ni2Bi, relaxed
# SG: No. 127
# M_tot: 0.000 μB/atom
# formation enthalpy at 0 K: 0.18 eV/f.u.
# calculated total energy: -42.63 eV/cell
data_Ga2Ni2Bi
_chemical_formula_sum 'Ga4 Ni4 Bi2'
_space_group_name_H-M_alt 'P 1'
_space_group_IT_number 1
_cell_length_a 7.597
_cell_length_b 7.597
_cell_length_c 2.857
_cell_angle_alpha 90.00
_cell_angle_beta 90.00
_cell_angle_gamma 90.00
loop_
_space_group_symop_operation_xyz
'x,y,z'
loop_
_atom_site_label
_atom_site_type_symbol
_atom_site_fract_x
_atom_site_fract_y
_atom_site_fract_z
_atom_site_occupancy
Ga1 Ga 0.126 0.374 0.000 1
Ga2 Ga 0.374 0.874 0.000 1
Ga3 Ga 0.626 0.126 0.000 1
Ga4 Ga 0.874 0.626 0.000 1
Ni1 Ni 0.161 0.661 0.500 1
Ni2 Ni 0.339 0.161 0.500 1
Ni3 Ni 0.661 0.839 0.500 1
Ni4 Ni 0.839 0.339 0.500 1
Bi1 Bi 0.000 0.000 0.000 1
Bi2 Bi 0.500 0.500 0.000 1

# PBE-GGA Ga2NiBi2, relaxed
# SG: No. 127
# M_tot: 0.000 μB/atom
# formation enthalpy at 0 K: 0.77 eV/f.u.
# calculated total energy: -37.65 eV/cell
data_Ga2NiBi2
_chemical_formula_sum 'Ga4 Ni2 Bi4'
_space_group_name_H-M_alt 'P 1'
_space_group_IT_number 1
_cell_length_a 6.559
_cell_length_b 6.559
_cell_length_c 5.156
_cell_angle_alpha 90.00
_cell_angle_beta 90.00
_cell_angle_gamma 90.00
loop_
_space_group_symop_operation_xyz
'x,y,z'
loop_
_atom_site_label
_atom_site_type_symbol
_atom_site_fract_x
_atom_site_fract_y
_atom_site_fract_z
_atom_site_occupancy
Ga1 Ga 0.147 0.353 0.000 1
Ga2 Ga 0.353 0.853 0.000 1
Ga3 Ga 0.647 0.147 0.000 1
Ga4 Ga 0.853 0.647 0.000 1
Ni1 Ni 0.000 0.000 0.000 1
Ni2 Ni 0.500 0.500 0.000 1
Bi1 Bi 0.177 0.677 0.500 1
Bi2 Bi 0.323 0.177 0.500 1
Bi3 Bi 0.677 0.823 0.500 1
Bi4 Bi 0.823 0.323 0.500 1